# 1
# BeSICl2 PBE relaxed
# Total moment   0.00 μB/f.u.
# Formation energy from raw total energies   -0.2075 eV per atom
# ρ   3.33 g/cm³
# Relative energy among the computed polymorphs   0 meV/atom
# Final energy   -2.8269 eV per atom
data_BeSICl2
_space_group_name_H-M_alt 'P 4/m m m'
_space_group_IT_number 123
_space_group_name_Hall '-P 4 2'
_cell_length_a 4.1628
_cell_length_b 4.1628
_cell_length_c 6.8676
_cell_angle_alpha 90.00
_cell_angle_beta 90.00
_cell_angle_gamma 90.00
loop_
_atom_site_label
_atom_site_type_symbol
_atom_site_fract_x
_atom_site_fract_y
_atom_site_fract_z
Be1 Be 0.0000 0.0000 0.0000
S1 S 0.0000 0.0000 0.5000
I1 I 0.5000 0.5000 0.5000
Cl1 Cl 0.0000 0.5000 0.0000



# 2
# BeS2ICl PBE relaxed
# Total moment   0.47 μB/f.u.
# Formation energy from raw total energies   1.1162 eV per atom
# ρ   2.77 g/cm³
# Relative energy among the computed polymorphs   927 meV/atom
# Final energy   -1.9593 eV per atom
data_BeS2ICl
_space_group_name_H-M_alt 'P 4/m m m'
_space_group_IT_number 123
_space_group_name_Hall '-P 4 2'
_cell_length_a 5.1214
_cell_length_b 5.1214
_cell_length_c 5.3891
_cell_angle_alpha 90.00
_cell_angle_beta 90.00
_cell_angle_gamma 90.00
loop_
_atom_site_label
_atom_site_type_symbol
_atom_site_fract_x
_atom_site_fract_y
_atom_site_fract_z
Be1 Be 0.0000 0.0000 0.0000
S1 S 0.0000 0.5000 0.5000
I1 I 0.5000 0.5000 0.5000
Cl1 Cl 0.5000 0.5000 0.0000



# 3
# BeSICl2 PBE relaxed
# Total moment   0.52 μB/f.u.
# Formation energy from raw total energies   0.8635 eV per atom
# ρ   2.57 g/cm³
# Relative energy among the computed polymorphs   1071 meV/atom
# Final energy   -1.7559 eV per atom
data_BeSICl2
_space_group_name_H-M_alt 'P 4/m m m'
_space_group_IT_number 123
_space_group_name_Hall '-P 4 2'
_cell_length_a 5.4806
_cell_length_b 5.4806
_cell_length_c 5.1461
_cell_angle_alpha 90.00
_cell_angle_beta 90.00
_cell_angle_gamma 90.00
loop_
_atom_site_label
_atom_site_type_symbol
_atom_site_fract_x
_atom_site_fract_y
_atom_site_fract_z
Be1 Be 0.0000 0.0000 0.0000
S1 S 0.5000 0.5000 0.0000
I1 I 0.5000 0.5000 0.5000
Cl1 Cl 0.0000 0.5000 0.5000



# 4
# BeS2ICl PBE relaxed
# Total moment   0.00 μB/f.u.
# Formation energy from raw total energies   0.1892 eV per atom
# ρ   4.19 g/cm³
# Relative energy among the computed polymorphs   0 meV/atom
# Final energy   -2.8863 eV per atom
data_BeS2ICl
_space_group_name_H-M_alt 'P 4/m m m'
_space_group_IT_number 123
_space_group_name_Hall '-P 4 2'
_cell_length_a 4.6870
_cell_length_b 4.6870
_cell_length_c 4.2470
_cell_angle_alpha 90.00
_cell_angle_beta 90.00
_cell_angle_gamma 90.00
loop_
_atom_site_label
_atom_site_type_symbol
_atom_site_fract_x
_atom_site_fract_y
_atom_site_fract_z
Be1 Be 0.0000 0.0000 0.0000
S1 S 0.0000 0.5000 0.0000
I1 I 0.5000 0.5000 0.5000
Cl1 Cl 0.0000 0.0000 0.5000



# 5
# BeSbI2Cl PBE relaxed
# Total moment   0.00 μB/f.u.
# Formation energy from raw total energies   0.2333 eV per atom
# ρ   5.09 g/cm³
# Relative energy among the computed polymorphs   0 meV/atom
# Final energy   -2.3258 eV per atom
data_BeSbI2Cl
_space_group_name_H-M_alt 'P 4/m m m'
_space_group_IT_number 123
_space_group_name_Hall '-P 4 2'
_cell_length_a 5.1141
_cell_length_b 5.1141
_cell_length_c 5.2416
_cell_angle_alpha 90.00
_cell_angle_beta 90.00
_cell_angle_gamma 90.00
loop_
_atom_site_label
_atom_site_type_symbol
_atom_site_fract_x
_atom_site_fract_y
_atom_site_fract_z
Be1 Be 0.0000 0.0000 0.0000
Sb1 Sb 0.0000 0.0000 0.5000
I1 I 0.0000 0.5000 0.0000
Cl1 Cl 0.5000 0.5000 0.5000



# 6
# BeTcI2Cl PBE relaxed
# Total moment   0.00 μB/f.u.
# Formation energy from raw total energies   0.5349 eV per atom
# ρ   5.24 g/cm³
# Final energy   -3.2729 eV per atom
data_BeTcI2Cl
_space_group_name_H-M_alt 'P 4/m m m'
_space_group_IT_number 123
_space_group_name_Hall '-P 4 2'
_cell_length_a 5.2391
_cell_length_b 5.2391
_cell_length_c 4.5760
_cell_angle_alpha 90.00
_cell_angle_beta 90.00
_cell_angle_gamma 90.00
loop_
_atom_site_label
_atom_site_type_symbol
_atom_site_fract_x
_atom_site_fract_y
_atom_site_fract_z
Be1 Be 0.0000 0.0000 0.0000
Tc1 Tc 0.0000 0.0000 0.5000
I1 I 0.0000 0.5000 0.5000
Cl1 Cl 0.5000 0.5000 0.0000



# 7
# YBeI2Cl PBE relaxed
# Total moment   0.00 μB/f.u.
# Formation energy from raw total energies   0.0448 eV per atom
# ρ   4.14 g/cm³
# Final energy   -2.9827 eV per atom
data_YBeI2Cl
_space_group_name_H-M_alt 'P 4/m m m'
_space_group_IT_number 123
_space_group_name_Hall '-P 4 2'
_cell_length_a 6.4677
_cell_length_b 6.4677
_cell_length_c 3.7142
_cell_angle_alpha 90.00
_cell_angle_beta 90.00
_cell_angle_gamma 90.00
loop_
_atom_site_label
_atom_site_type_symbol
_atom_site_fract_x
_atom_site_fract_y
_atom_site_fract_z
Y1 Y 0.0000 0.0000 0.0000
Be1 Be 0.5000 0.5000 0.0000
I1 I 0.0000 0.5000 0.5000
Cl1 Cl 0.5000 0.5000 0.5000



# 8
# YBeICl2 PBE relaxed
# Total moment   0.00 μB/f.u.
# Formation energy from raw total energies   0.5013 eV per atom
# ρ   2.19 g/cm³
# Final energy   -2.5854 eV per atom
data_YBeICl2
_space_group_name_H-M_alt 'P 4/m m m'
_space_group_IT_number 123
_space_group_name_Hall '-P 4 2'
_cell_length_a 6.4102
_cell_length_b 6.4102
_cell_length_c 5.4569
_cell_angle_alpha 90.00
_cell_angle_beta 90.00
_cell_angle_gamma 90.00
loop_
_atom_site_label
_atom_site_type_symbol
_atom_site_fract_x
_atom_site_fract_y
_atom_site_fract_z
Y1 Y 0.0000 0.0000 0.0000
Be1 Be 0.5000 0.5000 0.0000
I1 I 0.0000 0.0000 0.5000
Cl1 Cl 0.0000 0.5000 0.5000



Repeat the seventh record exactly.
# YBeI2Cl PBE relaxed
# Total moment   0.00 μB/f.u.
# Formation energy from raw total energies   0.0448 eV per atom
# ρ   4.14 g/cm³
# Final energy   -2.9827 eV per atom
data_YBeI2Cl
_space_group_name_H-M_alt 'P 4/m m m'
_space_group_IT_number 123
_space_group_name_Hall '-P 4 2'
_cell_length_a 6.4677
_cell_length_b 6.4677
_cell_length_c 3.7142
_cell_angle_alpha 90.00
_cell_angle_beta 90.00
_cell_angle_gamma 90.00
loop_
_atom_site_label
_atom_site_type_symbol
_atom_site_fract_x
_atom_site_fract_y
_atom_site_fract_z
Y1 Y 0.0000 0.0000 0.0000
Be1 Be 0.5000 0.5000 0.0000
I1 I 0.0000 0.5000 0.5000
Cl1 Cl 0.5000 0.5000 0.5000